# Sr8Al2Ga

A relaxed structure of Sr8Al2Ga (PBE, Alexandria via LeMat-Bulk).

It has space group C2/m (No. 12), with a = 20.076 Å, b = 5.754 Å, c = 7.981 Å, α = 90.00°, β = 109.49° and γ = 90.00°. The distinct sites, in fractional coordinates, are Sr at (0.028, 0.000, 0.291), Sr at (0.097, 0.500, 0.942), Sr at (0.165, 0.500, 0.458), Sr at (0.203, 0.000, 0.806), Al at (0.181, 0.000, 0.198) and Ga at (0.000, 0.500, 0.500).

The energy of formation comes out at -0.13 eV/atom. The crystal system is monoclinic.